## Na (PBE)

Data for a relaxed structure of Na.

The polymorph energy (0 for the lowest one) is 0.000 eV per atom. Its space group is No. 166.

Cell: 9.552 9.552 9.552 Å, 22.39 22.39 22.39°
Fractional positions:
Na: 0.778 0.778 0.778
Na: 0.222 0.222 0.222
Na: 0.000 0.000 0.000

---

## Na (PBE)

Data for a relaxed structure of Na.

The polymorph energy (0 for the lowest one) is 0.016 eV per atom. Its space group is No. 65.

Cell: 5.924 10.508 3.575 Å, 90.00 90.00 90.00°
Fractional positions:
Na: 0.000 0.834 0.500
Na: 0.000 0.166 0.500
Na: 0.500 0.000 0.000
Na: 0.000 0.500 0.000
Na: 0.500 0.334 0.500
Na: 0.500 0.666 0.500

---

- Look up the polymorph energy (0 for the lowest one) of the first one.
  0.000 eV per atom